Entry 1:
First-principles (GGA-PBEsol) data for a relaxed BaHgBr2 crystal, as listed in Alexandria.

The calculation puts the total moment at 0.000 Bohr magnetons per cell. The value obtained for the formation energy (no corrections) is -1518 meV/atom. The calculation puts the volume at 122.36 Å³ per cell.

abc: 5.573 5.573 5.573
angles: 60.00 60.00 60.00
Fractional positions:
1 Hg 0.000 0.000 0.000
2 Br 0.250 0.250 0.250
3 Br 0.750 0.750 0.750
4 Ba 0.500 0.500 0.500

Entry 2:
First-principles (GGA-PBEsol) data for a relaxed BaSn2HgBr crystal, as listed in Alexandria.

The calculation puts the total moment at 0.002 Bohr magnetons per cell. The value obtained for the formation energy (no corrections) is -201 meV/atom. The calculation puts the volume at 182.45 Å³ per cell.

abc: 5.360 5.360 6.350
angles: 90.00 90.00 90.00
Fractional positions:
1 Br 0.000 0.000 0.500
2 Hg 0.000 0.000 0.000
3 Sn 0.000 0.500 0.000
4 Sn 0.500 0.000 0.000
5 Ba 0.500 0.500 0.500

Entry 3:
First-principles (GGA-PBEsol) data for a relaxed BaIBr crystal, as listed in Alexandria.

The calculation puts the total moment at 0.000 Bohr magnetons per cell. The value obtained for the formation energy (no corrections) is -2037 meV/atom. The calculation puts the volume at 434.09 Å³ per cell.

abc: 5.027 8.640 9.995
angles: 90.00 90.00 90.00
Fractional positions:
1 Ba 0.750 0.270 0.625
2 Ba 0.250 0.730 0.375
3 Ba 0.250 0.230 0.125
4 Ba 0.750 0.770 0.875
5 I 0.750 0.528 0.169
6 I 0.250 0.472 0.831
7 I 0.250 0.972 0.669
8 I 0.750 0.028 0.331
9 Br 0.750 0.144 0.934
10 Br 0.250 0.856 0.066
11 Br 0.250 0.356 0.434
12 Br 0.750 0.644 0.566

Entry 4:
First-principles (GGA-PBEsol) data for a relaxed Ba2IBr crystal, as listed in Alexandria.

The calculation puts the total moment at 3.614 Bohr magnetons per cell. The value obtained for the formation energy (no corrections) is -1227 meV/atom. The calculation puts the volume at 444.11 Å³ per cell.

abc: 7.632 7.632 9.341
angles: 114.11 114.11 90.00
Fractional positions:
1 I 0.250 0.750 0.500
2 I 0.000 0.000 0.000
3 Ba 0.852 0.375 0.250
4 Ba 0.398 0.875 0.250
5 Ba 0.625 0.602 0.750
6 Ba 0.125 0.148 0.750
7 Br 0.750 0.250 0.500
8 Br 0.500 0.500 0.000

Entry 5:
First-principles (GGA-PBEsol) data for a relaxed BaIBr crystal, as listed in Alexandria.

The calculation puts the total moment at 0.041 Bohr magnetons per cell. The value obtained for the formation energy (no corrections) is -2003 meV/atom. The calculation puts the volume at 223.22 Å³ per cell.

abc: 5.082 5.082 8.642
angles: 90.00 90.00 90.00
Fractional positions:
1 I 0.000 0.500 0.638
2 I 0.500 0.000 0.362
3 Ba 0.500 0.000 0.769
4 Ba 0.000 0.500 0.231
5 Br 0.000 0.000 0.000
6 Br 0.500 0.500 0.000

Entry 6:
First-principles (GGA-PBEsol) data for a relaxed Ba10IBr4N5 crystal, as listed in Alexandria.

The calculation puts the total moment at 0.000 Bohr magnetons per cell. The value obtained for the formation energy (no corrections) is -1211 meV/atom. The calculation puts the volume at 583.64 Å³ per cell.

abc: 4.122 4.122 39.743
angles: 87.03 87.03 60.00
Fractional positions:
1 I 0.000 0.000 0.000
2 Ba 0.245 0.245 0.265
3 Ba 0.644 0.644 0.068
4 Ba 0.047 0.047 0.858
5 Ba 0.446 0.446 0.661
6 Ba 0.846 0.846 0.463
7 Ba 0.554 0.554 0.339
8 Ba 0.953 0.953 0.142
9 Ba 0.356 0.356 0.932
10 Ba 0.755 0.755 0.735
11 Ba 0.154 0.154 0.537
12 Br 0.401 0.401 0.796
13 Br 0.800 0.800 0.599
14 Br 0.200 0.200 0.401
15 Br 0.599 0.599 0.204
16 N 0.899 0.899 0.302
17 N 0.298 0.298 0.105
18 N 0.702 0.702 0.895
19 N 0.101 0.101 0.698
20 N 0.500 0.500 0.500

Entry 7:
First-principles (GGA-PBEsol) data for a relaxed Ba10IBr4N5 crystal, as listed in Alexandria.

The calculation puts the total moment at 0.002 Bohr magnetons per cell. The value obtained for the formation energy (no corrections) is -1207 meV/atom. The calculation puts the volume at 584.47 Å³ per cell.

abc: 7.139 8.290 10.909
angles: 73.64 70.90 81.77
Fractional positions:
1 Ba 0.250 0.318 0.732
2 Ba 0.639 0.317 0.936
3 Ba 0.446 0.311 0.338
4 Ba 0.847 0.313 0.539
5 Ba 0.046 0.320 0.139
6 Ba 0.554 0.689 0.662
7 Ba 0.954 0.680 0.861
8 Ba 0.750 0.682 0.268
9 Ba 0.153 0.687 0.461
10 Ba 0.361 0.683 0.064
11 I 0.000 0.000 0.000
12 Br 0.400 0.000 0.201
13 Br 0.800 0.000 0.400
14 Br 0.200 0.000 0.600
15 Br 0.600 0.000 0.799
16 N 0.898 0.500 0.698
17 N 0.301 0.503 0.898
18 N 0.102 0.500 0.302
19 N 0.500 0.500 0.500
20 N 0.699 0.497 0.102

Entry 8:
First-principles (GGA-PBEsol) data for a relaxed RbBa2IBr crystal, as listed in Alexandria.

The calculation puts the total moment at 0.003 Bohr magnetons per cell. The value obtained for the formation energy (no corrections) is -818 meV/atom. The calculation puts the volume at 290.20 Å³ per cell.

abc: 6.148 6.148 7.678
angles: 90.00 90.00 90.00
Fractional positions:
1 I 0.000 0.000 0.500
2 Br 0.000 0.000 0.000
3 Ba 0.000 0.500 0.000
4 Ba 0.500 0.000 0.000
5 Rb 0.500 0.500 0.500

| no. | total DFT energy (no corrections) (eV per cell) |
| --- | --- |
| 1 | -12.53 |
| 2 | -14.11 |
| 3 | -47.58 |
| 4 | -25.69 |
| 5 | -23.59 |
| 6 | -97.59 |
| 7 | -97.51 |
| 8 | -13.05 |